1.
16
Lattice="8.221 0.000 0.000 -4.110 7.119 0.000 0.000 0.000 5.896" Properties=species:S:1:pos:R:3 comment="Y3In2Rh3 | Alexandria via LeMat-Bulk | GGA-PBE | optimized geometry" delta_e_f_kcal_per_mol_atoms=-15.80 total_magnetization_mub_per_fu=0.00 e_tot_ev_per_cell=-104.8 pbc="T T T"
Y -1.106 1.915 1.474
Y -3.004 5.204 4.422
Y 2.212 0.000 1.474
Y 1.106 1.915 4.422
Y 6.009 0.000 4.422
Y 3.004 5.204 1.474
In 0.000 4.746 0.000
In 0.000 4.746 2.948
In 4.110 2.373 0.000
In 4.110 2.373 2.948
Rh -1.620 2.806 4.422
Rh -2.490 4.313 1.474
Rh 3.240 0.000 4.422
Rh 1.620 2.806 1.474
Rh 4.981 0.000 1.474
Rh 2.490 4.313 4.422



2.
12
Lattice="8.135 -1.823 0.000 8.135 1.823 0.000 -2.023 0.000 7.214" Properties=species:S:1:pos:R:3 comment="Er6C2S3O | Alexandria via LeMat-Bulk | GGA-PBE | optimized geometry" formation_energy_uncorrected_kcal_per_mol_atoms=-39.31 total_magnetization_mub_per_fu=0.00 e_tot_ev_per_cell=-83.6 pbc="T T T"
Er -0.299 0.000 1.714
Er 4.402 0.000 3.162
Er 3.703 0.000 6.435
Er 10.544 0.000 0.779
Er 9.845 0.000 4.052
Er 14.546 0.000 5.500
C 2.002 0.000 2.358
C 12.245 0.000 4.856
S 0.995 0.000 6.013
S 7.124 0.000 3.607
S 13.252 0.000 1.201
O 8.135 0.000 0.000



3.
16
Lattice="2.548 0.000 0.000 0.000 2.548 0.000 0.000 0.000 27.435" Properties=species:S:1:pos:R:3 comment="SiC3 | Alexandria via LeMat-Bulk | GGA-PBE | optimized geometry" formation_energy_uncorrected_kcal_per_mol_atoms=49.84 de_polymorph_mev_per_atom=1662 total_magnetization_mub_per_fu=0.00 e_tot_ev_per_cell=-97.8 pbc="T T T"
Si 0.000 0.000 3.230
Si 0.000 0.000 24.205
Si 1.274 1.274 10.487
Si 1.274 1.274 16.948
C 0.000 0.000 10.453
C 0.000 0.000 16.982
C 0.000 1.274 0.000
C 0.000 1.274 6.859
C 0.000 1.274 13.717
C 0.000 1.274 20.576
C 1.274 0.000 0.000
C 1.274 0.000 6.859
C 1.274 0.000 13.717
C 1.274 0.000 20.576
C 1.274 1.274 3.265
C 1.274 1.274 24.170



4.
20
Lattice="4.890 2.823 4.553 -4.890 2.823 4.553 0.000 -5.646 4.553" Properties=species:S:1:pos:R:3 comment="CdGa7Ag12 | Alexandria via LeMat-Bulk | GGA-PBE | optimized geometry" delta_e_f_kcal_per_mol_atoms=1.56 total_magnetization_mub_per_fu=0.00 e_tot_ev_per_cell=-55.0 pbc="T T T"
Cd 0.000 0.000 0.000
Ga -0.424 -1.591 2.485
Ga -1.166 1.162 2.485
Ga 1.590 0.429 2.485
Ga 0.000 0.000 6.830
Ga -1.590 -0.429 11.174
Ga 1.166 -1.162 11.174
Ga 0.424 1.591 11.174
Ag -1.938 -1.571 5.929
Ag -2.595 1.048 4.811
Ag 0.390 -2.771 4.811
Ag -2.205 -1.723 8.849
Ag -2.330 0.893 7.730
Ag 0.392 -2.464 7.730
Ag -0.392 2.464 5.929
Ag 2.330 -0.893 5.929
Ag 2.205 1.723 4.811
Ag -0.390 2.771 8.849
Ag 2.595 -1.048 8.849
Ag 1.938 1.571 7.730



5.
4
Lattice="4.228 0.000 0.000 0.000 4.875 0.000 -0.891 0.000 5.133" Properties=species:S:1:pos:R:3 comment="BaAgOs2 | Alexandria via LeMat-Bulk | GGA-PBE | optimized geometry" delta_e_f_kcal_per_mol_atoms=19.14 de_polymorph_mev_per_atom=476 total_magnetization_mub_per_fu=0.00 e_tot_ev_per_cell=-23.9 pbc="T T T"
Ba 0.000 0.000 0.000
Ag 1.668 0.000 2.566
Os 0.592 2.438 3.106
Os 2.744 2.438 2.026



6.
16
Lattice="7.121 0.000 0.000 0.000 7.121 0.000 0.000 0.000 7.121" Properties=species:S:1:pos:R:3 comment="BaCaRh2 | Alexandria via LeMat-Bulk | GGA-PBE | optimized geometry" delta_e_f_kcal_per_mol_atoms=5.30 de_polymorph_mev_per_atom=426 total_magnetization_mub_per_fu=0.57 e_tot_ev_per_cell=-70.8 pbc="T T T"
Ba 0.000 0.000 0.000
Ba 0.000 3.561 3.561
Ba 3.561 0.000 3.561
Ba 3.561 3.561 0.000
Ca 1.780 1.780 1.780
Ca 1.780 5.341 5.341
Ca 5.341 1.780 5.341
Ca 5.341 5.341 1.780
Rh 0.000 0.000 3.561
Rh 0.000 3.561 0.000
Rh 1.780 1.780 5.341
Rh 1.780 5.341 1.780
Rh 3.561 0.000 0.000
Rh 3.561 3.561 3.561
Rh 5.341 1.780 1.780
Rh 5.341 5.341 5.341



7.
12
Lattice="6.271 0.000 0.000 0.000 6.271 0.000 0.000 0.000 6.271" Properties=species:S:1:pos:R:3 comment="TaRhBr | Alexandria via LeMat-Bulk | GGA-PBE | optimized geometry" formation_energy_uncorrected_kcal_per_mol_atoms=15.95 de_polymorph_mev_per_atom=724 total_magnetization_mub_per_fu=0.00 e_tot_ev_per_cell=-75.2 pbc="T T T"
Ta 0.000 0.000 0.000
Ta 0.000 3.136 3.136
Ta 3.136 0.000 3.136
Ta 3.136 3.136 0.000
Rh 1.568 1.568 1.568
Rh 1.568 4.703 4.703
Rh 4.703 1.568 4.703
Rh 4.703 4.703 1.568
Br 0.000 0.000 3.136
Br 0.000 3.136 0.000
Br 3.136 0.000 0.000
Br 3.136 3.136 3.136



8.
5
Lattice="5.244 0.000 0.000 0.000 5.244 0.000 0.000 0.000 5.244" Properties=species:S:1:pos:R:3 comment="Sb3MoW | Alexandria via LeMat-Bulk | GGA-PBE | optimized geometry" formation_energy_uncorrected_kcal_per_mol_atoms=30.34 de_polymorph_mev_per_atom=0 total_magnetization_mub_per_fu=4.24 e_tot_ev_per_cell=-29.6 pbc="T T T"
Sb 0.000 0.000 2.622
Sb 0.000 2.622 0.000
Sb 2.622 0.000 0.000
Mo 2.622 2.622 2.622
W 0.000 0.000 0.000



9.
5
Lattice="5.005 0.000 0.000 0.000 5.005 0.000 0.000 0.000 5.005" Properties=species:S:1:pos:R:3 comment="NaAlAs3 | Alexandria via LeMat-Bulk | GGA-PBE | optimized geometry" delta_e_f_kcal_per_mol_atoms=24.28 de_polymorph_mev_per_atom=834 total_magnetization_mub_per_fu=0.00 e_tot_ev_per_cell=-13.7 pbc="T T T"
Na 0.000 0.000 0.000
Al 2.502 2.502 2.502
As 0.000 0.000 2.502
As 0.000 2.502 0.000
As 2.502 0.000 0.000



10.
8
Lattice="3.831 0.000 0.000 0.000 3.831 0.000 0.000 0.000 7.629" Properties=species:S:1:pos:R:3 comment="CoIr2Pt | Alexandria via LeMat-Bulk | GGA-PBE | optimized geometry" delta_e_f_kcal_per_mol_atoms=1.09 de_polymorph_mev_per_atom=42 total_magnetization_mub_per_fu=1.83 e_tot_ev_per_cell=-61.4 pbc="T T T"
Co 0.000 0.000 0.000
Co 1.915 1.915 3.815
Ir 0.000 1.915 1.907
Ir 0.000 1.915 5.722
Ir 1.915 0.000 1.907
Ir 1.915 0.000 5.722
Pt 0.000 0.000 3.815
Pt 1.915 1.915 0.000



11.
10
Lattice="7.171 0.000 0.000 0.000 7.171 0.000 0.000 0.000 2.705" Properties=species:S:1:pos:R:3 comment="Co2NiPt2 | Alexandria via LeMat-Bulk | GGA-PBE | optimized geometry" delta_e_f_kcal_per_mol_atoms=3.85 de_polymorph_mev_per_atom=147 total_magnetization_mub_per_fu=5.16 e_tot_ev_per_cell=-62.5 pbc="T T T"
Co 0.850 2.736 0.000
Co 2.736 6.321 0.000
Co 4.436 0.850 0.000
Co 6.321 4.436 0.000
Ni 0.000 0.000 0.000
Ni 3.586 3.586 0.000
Pt 1.270 4.855 1.353
Pt 2.316 1.270 1.353
Pt 4.855 5.902 1.353
Pt 5.902 2.316 1.353



12.
10
Lattice="7.598 0.000 0.000 0.000 4.265 0.000 -1.770 0.000 4.422" Properties=species:S:1:pos:R:3 comment="BeZnInNiPd | Alexandria via LeMat-Bulk | GGA-PBE | optimized geometry" delta_e_f_kcal_per_mol_atoms=-4.14 de_polymorph_mev_per_atom=75 total_magnetization_mub_per_fu=0.00 e_tot_ev_per_cell=-39.2 pbc="T T T"
Be 0.000 0.000 0.000
Be 3.799 2.133 0.000
Zn -0.463 2.133 1.274
Zn 3.337 0.000 1.274
In 0.918 0.000 2.793
In 4.718 2.133 2.793
Ni 2.252 2.133 2.083
Ni 6.051 0.000 2.083
Pd -0.372 2.133 3.956
Pd 3.428 0.000 3.956